Compound: Na2UP2Pd
Source: Alexandria
Functional: PBE
Structure: relaxed

Calculated values
Formation enthalpy at 0 K in eV per atom: -0.55
SG: Pmc2_1 (26)
DOS at the Fermi energy in states/eV per atom: 0.77

abc: 4.2906 8.2042 6.7570
angles: 90.00 90.00 90.00
With the nearest neighbours (Å) after each atom.
Fractional coordinates of all 12 atoms:
Na  0.0000  0.0881  0.0000  3 P 2.90-3.00, 4 Na 3.09-3.14, 1 Pd 3.13
Na  0.0000  0.9119  0.5000  3 P 2.90-3.00, 4 Na 3.09-3.14, 1 Pd 3.13
Na  0.5000  0.1444  0.3315  4 P 2.82-3.00, 4 Na 3.09-3.14
Na  0.5000  0.8556  0.8315  4 P 2.82-3.00, 4 Na 3.09-3.14
U  0.5000  0.4658  0.9740  5 P 2.70-2.90, 2 Pd 3.01
U  0.5000  0.5342  0.4740  5 P 2.70-2.90, 2 Pd 3.01
P  0.0000  0.3914  0.2489  2 Pd 2.61, 4 U 2.88-2.90
P  0.0000  0.6086  0.7489  2 Pd 2.61, 4 U 2.88-2.90
P  0.5000  0.1970  0.7437  2 Pd 2.47, 1 U 2.70
P  0.5000  0.8030  0.2437  2 Pd 2.47, 1 U 2.70
Pd  0.0000  0.3084  0.6218  4 P 2.47-2.61
Pd  0.0000  0.6916  0.1218  4 P 2.47-2.61

---

Compound: Sr2Li3Mg12Ag
Source: Alexandria
Functional: PBE
Structure: relaxed

Calculated values
Formation enthalpy at 0 K in eV per atom: 0.12
SG: R-3m (166)
DOS at the Fermi energy in states/eV per atom: 0.64

abc: 12.2552 12.2552 12.2552
angles: 33.20 33.20 33.20
With the nearest neighbours (Å) after each atom.
Fractional coordinates of all 18 atoms:
Sr  0.1408  0.1408  0.1408  12 Mg 3.64-3.70
Sr  0.8592  0.8592  0.8592  12 Mg 3.64-3.70
Li  0.0000  0.5000  0.5000  4 Mg 2.76
Li  0.5000  0.0000  0.5000  4 Mg 2.76
Li  0.5000  0.5000  0.0000  4 Mg 2.76
Mg  0.0923  0.0923  0.6706  2 Li 2.76, 4 Mg 2.95-3.02
Mg  0.0923  0.6706  0.0923  2 Li 2.76, 4 Mg 2.95-3.02
Mg  0.1228  0.5986  0.5986  1 Ag 2.83, 2 Mg 3.02
Mg  0.3294  0.9077  0.9077  2 Li 2.76, 4 Mg 2.95-3.02
Mg  0.4014  0.4014  0.8772  1 Ag 2.83, 2 Mg 3.02
Mg  0.4014  0.8772  0.4014  1 Ag 2.83, 2 Mg 3.02
Mg  0.5986  0.1228  0.5986  1 Ag 2.83, 2 Mg 3.02
Mg  0.5986  0.5986  0.1228  1 Ag 2.83, 2 Mg 3.02
Mg  0.6706  0.0923  0.0923  2 Li 2.76, 4 Mg 2.95-3.02
Mg  0.8772  0.4014  0.4014  1 Ag 2.83, 2 Mg 3.02
Mg  0.9077  0.3294  0.9077  2 Li 2.76, 4 Mg 2.95-3.02
Mg  0.9077  0.9077  0.3294  2 Li 2.76, 4 Mg 2.95-3.02
Ag  0.5000  0.5000  0.5000  6 Mg 2.83

---

Compound: HfAg2RhBr
Source: Alexandria
Functional: PBE
Structure: relaxed

Calculated values
DFT total energy in eV/cell: -19.1
SG: P4/mmm (123)
DOS at the Fermi energy in states/eV per atom: 1.25

abc: 4.9234 4.9234 4.7278
angles: 90.00 90.00 90.00
With the nearest neighbours (Å) after each atom.
Fractional coordinates of all 5 atoms:
Hf  0.0000  0.0000  0.0000  8 Ag 3.41, 4 Rh 3.48
Ag  0.0000  0.5000  0.5000  2 Br 2.46
Ag  0.5000  0.0000  0.5000  2 Br 2.46
Rh  0.5000  0.5000  0.0000  2 Br 2.36
Br  0.5000  0.5000  0.5000  2 Rh 2.36, 4 Ag 2.46

---

Compound: CuReRu2
Source: Alexandria
Functional: PBE
Structure: relaxed

Calculated values
Offset from the most stable computed form in meV per atom: 32.9
Formation enthalpy at 0 K in eV per atom: 0.16
SG: P2/m (10)
DOS at the Fermi energy in states/eV per atom: 1.28

abc: 2.7334 3.7652 5.3670
angles: 90.00 90.00 90.00
With the nearest neighbours (Å) after each atom.
Fractional coordinates of all 4 atoms:
Cu  0.0000  0.0000  0.0000  8 Ru 2.66-2.67, 2 Re 2.68, 2 Cu 2.73
Re  0.0000  0.0000  0.5000  2 Cu 2.68, 8 Ru 2.70-2.71, 2 Re 2.73
Ru  0.4972  0.5000  0.7565  4 Ru 2.61-2.75, 4 Cu 2.66-2.67, 4 Re 2.70-2.71
Ru  0.5028  0.5000  0.2435  4 Ru 2.61-2.75, 4 Cu 2.66-2.67, 4 Re 2.70-2.71

---

Compound: AcDySbPt
Source: Alexandria
Functional: PBE
Structure: relaxed

Calculated values
DFT total energy in eV/cell: -88.5
SG: F-43m (216)
DOS at the Fermi energy in states/eV per atom: 1.16

abc: 7.6163 7.6163 7.6163
angles: 90.00 90.00 90.00
With the nearest neighbours (Å) after each atom.
Fractional coordinates of all 16 atoms:
Ac  0.0000  0.0000  0.0000  4 Pt 3.30, 4 Sb 3.30
Ac  0.0000  0.5000  0.5000  4 Pt 3.30, 4 Sb 3.30
Ac  0.5000  0.0000  0.5000  4 Pt 3.30, 4 Sb 3.30
Ac  0.5000  0.5000  0.0000  4 Pt 3.30, 4 Sb 3.30
Dy  0.0000  0.0000  0.5000  4 Sb 3.30, 4 Pt 3.30
Dy  0.0000  0.5000  0.0000  4 Sb 3.30, 4 Pt 3.30
Dy  0.5000  0.0000  0.0000  4 Sb 3.30, 4 Pt 3.30
Dy  0.5000  0.5000  0.5000  4 Sb 3.30, 4 Pt 3.30
Sb  0.2500  0.2500  0.2500  4 Ac 3.30, 4 Dy 3.30
Sb  0.2500  0.7500  0.7500  4 Ac 3.30, 4 Dy 3.30
Sb  0.7500  0.2500  0.7500  4 Ac 3.30, 4 Dy 3.30
Sb  0.7500  0.7500  0.2500  4 Ac 3.30, 4 Dy 3.30
Pt  0.2500  0.2500  0.7500  4 Ac 3.30, 4 Dy 3.30
Pt  0.2500  0.7500  0.2500  4 Ac 3.30, 4 Dy 3.30
Pt  0.7500  0.2500  0.2500  4 Ac 3.30, 4 Dy 3.30
Pt  0.7500  0.7500  0.7500  4 Dy 3.30, 4 Ac 3.30

---

Compound: ErInSi2Ir5
Source: Alexandria
Functional: PBE
Structure: relaxed

Calculated values
DFT total energy in eV/cell: -64.8
SG: P4/mmm (123)
DOS at the Fermi energy in states/eV per atom: 0.69

abc: 3.9104 3.9104 11.3169
angles: 90.00 90.00 90.00
With the nearest neighbours (Å) after each atom.
Fractional coordinates of all 9 atoms:
Er  0.0000  0.0000  0.0000  4 Ir 2.77
In  0.0000  0.0000  0.5000  8 Ir 2.79
Si  0.5000  0.5000  0.2064  5 Ir 2.34-2.37
Si  0.5000  0.5000  0.7936  5 Ir 2.34-2.37
Ir  0.0000  0.5000  0.3243  2 Si 2.37
Ir  0.0000  0.5000  0.6757  2 Si 2.37
Ir  0.5000  0.0000  0.3243  2 Si 2.37
Ir  0.5000  0.0000  0.6757  2 Si 2.37
Ir  0.5000  0.5000  0.0000  2 Si 2.34